# 1
A relaxed structure of PuBeGa2. Source: Alexandria via LeMat-Bulk, functional GGA-PBE.

Cell lengths 6.585, 6.585, 6.585 Å; angles 90.00, 90.00, 90.00 degrees
Atoms (fractional coordinates):
1 Pu 0.000 0.000 0.000
2 Pu 0.000 0.500 0.500
3 Pu 0.500 0.000 0.500
4 Pu 0.500 0.500 0.000
5 Be 0.000 0.000 0.500
6 Be 0.000 0.500 0.000
7 Be 0.500 0.000 0.000
8 Be 0.500 0.500 0.500
9 Ga 0.250 0.250 0.250
10 Ga 0.250 0.250 0.750
11 Ga 0.250 0.750 0.250
12 Ga 0.250 0.750 0.750
13 Ga 0.750 0.250 0.250
14 Ga 0.750 0.250 0.750
15 Ga 0.750 0.750 0.250
16 Ga 0.750 0.750 0.750

Properties
Density in kg/m3: 9129
Spin magnetization in μB/f.u.: 5.22
Formation enthalpy at 0 K in kcal/mol of atoms: 0.4
E above lowest polymorph in eV/atom: 0.219

***

# 2
A relaxed structure of Pu2BeGa. Source: Alexandria via LeMat-Bulk, functional GGA-PBE.

Cell lengths 3.515, 3.515, 4.823 Å; angles 90.00, 90.00, 90.00 degrees
Atoms (fractional coordinates):
1 Pu 0.000 0.500 0.000
2 Pu 0.500 0.000 0.000
3 Be 0.000 0.000 0.500
4 Ga 0.500 0.500 0.500

Properties
Density in kg/m3: 15796
Spin magnetization in μB/f.u.: 0.00
Formation enthalpy at 0 K in kcal/mol of atoms: 3.1
E above lowest polymorph in eV/atom: 0.128

***

# 3
A relaxed structure of PuBeGa. Source: Alexandria via LeMat-Bulk, functional GGA-PBE.

Cell lengths 4.420, 4.420, 3.101 Å; angles 90.00, 90.00, 120.00 degrees
Atoms (fractional coordinates):
1 Pu 0.000 0.000 0.000
2 Be 0.333 0.667 0.500
3 Ga 0.667 0.333 0.500

Properties
Density in kg/m3: 10216
Spin magnetization in μB/f.u.: 5.32
Formation enthalpy at 0 K in kcal/mol of atoms: -2.1

***

# 4
A relaxed structure of Pu2Be2GaRh5. Source: Alexandria via LeMat-Bulk, functional GGA-PBE.

Cell lengths 9.515, 9.515, 3.329 Å; angles 90.00, 90.00, 90.00 degrees
Atoms (fractional coordinates):
1 Pu 0.176 0.324 0.000
2 Pu 0.324 0.824 0.000
3 Pu 0.676 0.176 0.000
4 Pu 0.824 0.676 0.000
5 Be 0.121 0.621 0.000
6 Be 0.379 0.121 0.000
7 Be 0.621 0.879 0.000
8 Be 0.879 0.379 0.000
9 Ga 0.000 0.000 0.000
10 Ga 0.500 0.500 0.000
11 Rh 0.000 0.500 0.500
12 Rh 0.069 0.790 0.500
13 Rh 0.210 0.069 0.500
14 Rh 0.290 0.569 0.500
15 Rh 0.431 0.290 0.500
16 Rh 0.500 0.000 0.500
17 Rh 0.569 0.710 0.500
18 Rh 0.710 0.431 0.500
19 Rh 0.790 0.931 0.500
20 Rh 0.931 0.210 0.500

Properties
Density in kg/m3: 12013
Spin magnetization in μB/f.u.: 9.14
Formation enthalpy at 0 K in kcal/mol of atoms: -14.0

***

# 5
A relaxed structure of Pu2Be3GaSi4. Source: Alexandria via LeMat-Bulk, functional GGA-PBE.

Cell lengths 3.980, 3.980, 9.603 Å; angles 90.00, 90.00, 90.00 degrees
Atoms (fractional coordinates):
1 Pu 0.000 0.500 0.236
2 Pu 0.500 0.000 0.764
3 Be 0.000 0.500 0.880
4 Be 0.500 0.000 0.120
5 Be 0.500 0.500 0.500
6 Ga 0.000 0.000 0.500
7 Si 0.000 0.000 0.000
8 Si 0.000 0.500 0.649
9 Si 0.500 0.000 0.351
10 Si 0.500 0.500 0.000

Properties
Density in kg/m3: 7611
Spin magnetization in μB/f.u.: 11.32
ΔE_f (raw) in eV per atom: -0.2684

***

# 6
A relaxed structure of Pu2Be4GaSi3. Source: Alexandria via LeMat-Bulk, functional GGA-PBE.

Cell lengths 3.909, 3.909, 9.556 Å; angles 90.00, 90.00, 90.00 degrees
Atoms (fractional coordinates):
1 Pu 0.000 0.500 0.245
2 Pu 0.500 0.000 0.755
3 Be 0.000 0.000 0.000
4 Be 0.000 0.500 0.637
5 Be 0.500 0.000 0.363
6 Be 0.500 0.500 0.000
7 Ga 0.000 0.000 0.500
8 Si 0.000 0.500 0.870
9 Si 0.500 0.000 0.130
10 Si 0.500 0.500 0.500

Properties
Density in kg/m3: 7710
Spin magnetization in μB/f.u.: 10.86
ΔE_f (raw) in eV per atom: -0.3097